# YCu2Pt2 PBE-GGA optimized geometry
# Polymorph energy (0 for the lowest one)   0.0 meV per atom
# Calculated total energy   -29.685 eV per cell
# Calculated formation energy   -2.947 eV/f.u.
# Spin magnetization   0.0 μB/f.u.
data_YCu2Pt2
_chemical_formula_sum 'Y1 Cu2 Pt2'
_cell_length_a 3.771
_cell_length_b 3.771
_cell_length_c 6.761
_cell_angle_alpha 73.81
_cell_angle_beta 73.81
_cell_angle_gamma 90.00
_space_group_name_H-M_alt 'P 1'
_space_group_IT_number 1
_space_group_name_Hall 'P 1'
loop_
_atom_site_label
_atom_site_type_symbol
_atom_site_fract_x
_atom_site_fract_y
_atom_site_fract_z
Cu1 Cu 0.250 0.750 0.500
Cu2 Cu 0.750 0.250 0.500
Pt1 Pt 0.392 0.392 0.216
Y1 Y 0.000 0.000 0.000
Pt2 Pt 0.608 0.608 0.784